Density functional theory data (PBE-GGA) for an optimized crystal structure of HfNiMo3.

a b c (Å): 4.737 4.737 4.737
angles (deg): 90.00 90.00 90.00
Space group Pm-3m (No. 221)
Inequivalent atoms, fractional coordinates:
Hf 0.000 0.000 0.000 [1 per cell]
Ni 0.500 0.500 0.500 [1 per cell]
Mo 0.000 0.000 0.500 [3 per cell]

Results
Polymorph energy (0 for the lowest one), meV/atom: 1224.2

***

Density functional theory data (PBE-GGA) for an optimized crystal structure of BeCu3Mo.

a b c (Å): 4.653 4.653 4.653
angles (deg): 90.00 90.00 90.00
Space group Pm-3m (No. 221)
Inequivalent atoms, fractional coordinates:
Be 0.000 0.000 0.000 [1 per cell]
Cu 0.000 0.500 0.500 [3 per cell]
Mo 0.500 0.500 0.500 [1 per cell]

Results
Polymorph energy (0 for the lowest one), meV/atom: 1302.6

***

Density functional theory data (PBE-GGA) for an optimized crystal structure of Dy6Ni2Ru.

a b c (Å): 9.346 9.487 9.532
angles (deg): 90.00 90.00 90.00
Space group Immm (No. 71)
Inequivalent atoms, fractional coordinates:
Dy 0.000 0.191 0.173 [8 per cell]
Dy 0.175 0.243 0.500 [8 per cell]
Dy 0.185 0.500 0.236 [8 per cell]
Ni 0.000 0.000 0.381 [4 per cell]
Ni 0.160 0.000 0.000 [4 per cell]
Ru 0.000 0.500 0.000 [2 per cell]
Ru 0.000 0.500 0.500 [2 per cell]

Results
Uncorrected energy, eV for the cell shown: -204.84

***

Let's list DOS at the Fermi energy in order: 1.35, 1.25, 0.93 states/eV/atom.